(1)
GGA-PBEsol Cu2BiAu2, relaxed; size of the total moment = 0.00 Bohr magnetons per cell; symmetry = No. 139; DOS(E_F) = 2.21 states/eV per cell
1.0
-1.864 1.864 6.496
1.864 -1.864 6.496
1.864 1.864 -6.496
Cu Bi Au
2 1 2
direct
0.250 0.750 0.500
0.750 0.250 0.500
0.000 0.000 0.000
0.388 0.388 0.000
0.612 0.612 0.000

---

(2)
GGA-PBEsol Dy5BiAu2, relaxed; size of the total moment = 0.00 Bohr magnetons per cell; symmetry = No. 140; DOS(E_F) = 13.45 states/eV per cell
1.0
-4.002 4.002 6.459
4.002 -4.002 6.459
4.002 4.002 -6.459
Dy Bi Au
10 2 4
direct
0.000 0.000 0.000
0.014 0.514 0.809
0.204 0.014 0.500
0.296 0.796 0.809
0.486 0.296 0.500
0.500 0.500 0.000
0.514 0.704 0.500
0.704 0.204 0.191
0.796 0.986 0.500
0.986 0.486 0.191
0.250 0.250 0.000
0.750 0.750 0.000
0.137 0.363 0.500
0.363 0.863 0.226
0.637 0.137 0.774
0.863 0.637 0.500

---

(3)
GGA-PBEsol EuBiAu, relaxed; size of the total moment = 14.00 Bohr magnetons per cell; symmetry = No. 186; DOS(E_F) = 21.14 states/eV per cell
1.0
4.834 0.000 0.000
-2.417 4.187 0.000
0.000 0.000 7.749
Eu Bi Au
2 2 2
direct
0.000 0.000 0.000
0.000 0.000 0.500
0.333 0.667 0.277
0.667 0.333 0.777
0.333 0.667 0.686
0.667 0.333 0.186

---

Number 1: theoretical density 13.43 g/cm³, energy of formation from the pure elements 0.12 eV per atom. Number 2: theoretical density 11.36 g/cm³, energy of formation from the pure elements -0.72 eV per atom. Number 3: theoretical density 11.81 g/cm³, energy of formation from the pure elements -0.74 eV per atom.